Arrangement one

First-principles (PBE) data for an optimized crystal structure of PmPrTmIn, as listed in the Alexandria database. Values from VASP.

Results
**Crystal system**: cubic
**V**: 29.9 Å³ per atom

Quantum ESPRESSO input file:
```
&SYSTEM
  ibrav = 0, nat = 4, ntyp = 4
/
ATOMIC_SPECIES
Pm 145.00 Pm.upf
Pr 140.91 Pr.upf
Tm 168.93 Tm.upf
In 114.82 In.upf
ATOMIC_POSITIONS crystal
Pm 0.000 0.000 0.000
Pr 0.750 0.750 0.750
Tm 0.500 0.500 0.500
In 0.250 0.250 0.250
CELL_PARAMETERS angstrom
0.000 3.911 3.911
3.911 0.000 3.911
3.911 3.911 0.000
```

---

Arrangement two

First-principles (PBE) data for an optimized crystal structure of PmPrTmIn, as listed in the Alexandria database. Values from VASP.

Results
**Crystal system**: cubic
**V**: 30.2 Å³ per atom

Quantum ESPRESSO input file:
```
&SYSTEM
  ibrav = 0, nat = 4, ntyp = 4
/
ATOMIC_SPECIES
Pm 145.00 Pm.upf
Pr 140.91 Pr.upf
Tm 168.93 Tm.upf
In 114.82 In.upf
ATOMIC_POSITIONS crystal
Pm 0.000 0.000 0.000
Pr 0.500 0.500 0.500
Tm 0.250 0.250 0.250
In 0.750 0.750 0.750
CELL_PARAMETERS angstrom
0.000 3.922 3.922
3.922 0.000 3.922
3.922 3.922 0.000
```

---

Result of the stability comparison: arrangement two is the most stable of them.